[1]
A plane-wave DFT calculation with GGA-PBE was carried out for an optimized crystal structure of LaAuC2.

Output
Raw total energy: -86.255 eV for the cell shown
Formation enthalpy at 0 K: 1.27 eV per atom

Cell lengths 6.260, 6.260, 6.260 Å; angles 90.00, 90.00, 90.00 degrees
Space group Fm-3m (No. 225)
Inequivalent atoms, fractional coordinates:
La1 0.000 0.000 0.000 [4 per cell]
Au1 0.000 0.000 0.500 [4 per cell]
C1 0.250 0.250 0.250 [8 per cell]



[2]
A plane-wave DFT calculation with GGA-PBE was carried out for an optimized crystal structure of Ni21B6P2.

Output
Raw total energy: -719.601 eV for the cell shown
Formation enthalpy at 0 K: -0.26 eV per atom

Cell lengths 10.436, 10.436, 10.436 Å; angles 90.00, 90.00, 90.00 degrees
Space group Fm-3m (No. 225)
Inequivalent atoms, fractional coordinates:
Ni1 0.000 0.000 0.000 [4 per cell]
Ni2 0.000 0.168 0.168 [48 per cell]
Ni3 0.123 0.123 0.377 [32 per cell]
B1 0.000 0.000 0.273 [24 per cell]
P1 0.250 0.250 0.250 [8 per cell]



[3]
A plane-wave DFT calculation with GGA-PBE was carried out for an optimized crystal structure of KNaLiHg2.

Output
Raw total energy: -5.551 eV for the cell shown
Formation enthalpy at 0 K: -0.12 eV per atom

Cell lengths 5.301, 5.301, 5.487 Å; angles 90.00, 90.00, 90.00 degrees
Space group P4/mmm (No. 123)
Inequivalent atoms, fractional coordinates:
K1 0.000 0.000 0.000 [1 per cell]
Na1 0.500 0.500 0.000 [1 per cell]
Li1 0.500 0.500 0.500 [1 per cell]
Hg1 0.000 0.500 0.500 [2 per cell]



[4]
A plane-wave DFT calculation with GGA-PBE was carried out for an optimized crystal structure of La4NdMg.

Output
Raw total energy: -26.252 eV for the cell shown
Formation enthalpy at 0 K: -0.03 eV per atom

Cell lengths 3.774, 3.774, 14.588 Å; angles 90.00, 90.00, 90.00 degrees
Space group P4/mmm (No. 123)
Inequivalent atoms, fractional coordinates:
La1 0.000 0.000 0.150 [2 per cell]
La2 0.500 0.500 0.323 [2 per cell]
Nd1 0.000 0.000 0.500 [1 per cell]
Mg1 0.500 0.500 0.000 [1 per cell]



[5]
A plane-wave DFT calculation with GGA-PBE was carried out for an optimized crystal structure of Sr3NdTl2.

Output
Raw total energy: -32.407 eV for the cell shown
Formation enthalpy at 0 K: -0.28 eV per atom

Cell lengths 5.616, 10.447, 7.528 Å; angles 90.00, 90.00, 90.00 degrees
Space group Pmc2_1 (No. 26)
Inequivalent atoms, fractional coordinates:
Sr1 0.000 0.057 0.000 [2 per cell]
Sr2 0.000 0.325 0.356 [2 per cell]
Sr3 0.500 0.180 0.694 [2 per cell]
Nd1 0.500 0.442 0.045 [2 per cell]
Tl1 0.000 0.361 0.815 [2 per cell]
Tl2 0.500 0.156 0.235 [2 per cell]



[6]
A plane-wave DFT calculation with GGA-PBE was carried out for an optimized crystal structure of Ta2SbPd.

Output
Formation energy (no corrections): 265 meV per atom
Raw total energy: -127.841 eV for the cell shown

Cell lengths 7.452, 7.452, 5.671 Å; angles 90.00, 90.00, 90.00 degrees
Space group I-42d (No. 122)
Inequivalent atoms, fractional coordinates:
Ta1 0.235 0.250 0.125 [8 per cell]
Sb1 0.000 0.000 0.500 [4 per cell]
Pd1 0.000 0.000 0.000 [4 per cell]



[7]
A plane-wave DFT calculation with GGA-PBE was carried out for an optimized crystal structure of LiGePd2.

Output
Raw total energy: -72.182 eV for the cell shown
Formation enthalpy at 0 K: -0.28 eV per atom

Cell lengths 6.836, 6.836, 5.565 Å; angles 90.00, 90.00, 90.00 degrees
Space group I-42d (No. 122)
Inequivalent atoms, fractional coordinates:
Li1 0.000 0.000 0.000 [4 per cell]
Ge1 0.000 0.000 0.500 [4 per cell]
Pd1 0.230 0.250 0.625 [8 per cell]



[8]
A plane-wave DFT calculation with GGA-PBE was carried out for an optimized crystal structure of GaC.

Output
Raw total energy: -42.729 eV for the cell shown
Formation enthalpy at 0 K: 0.78 eV per atom

Cell lengths 4.123, 3.119, 9.833 Å; angles 90.00, 90.00, 90.00 degrees
Space group Amm2 (No. 38)
Inequivalent atoms, fractional coordinates:
Ga1 0.000 0.000 0.000 [2 per cell]
Ga2 0.000 0.000 0.263 [2 per cell]
C1 0.341 0.000 0.423 [4 per cell]



[9]
A plane-wave DFT calculation with GGA-PBE was carried out for an optimized crystal structure of Nd7Ho2Mg2.

Output
Raw total energy: -88.522 eV for the cell shown
Formation enthalpy at 0 K: 0.13 eV per atom

Cell lengths 11.990, 11.112, 5.870 Å; angles 90.00, 111.72, 90.00 degrees
Space group C2/m (No. 12)
Inequivalent atoms, fractional coordinates:
Nd1 0.000 0.000 0.000 [2 per cell]
Nd2 0.194 0.208 0.187 [8 per cell]
Nd3 0.233 0.000 0.663 [4 per cell]
Ho1 0.000 0.220 0.500 [4 per cell]
Mg1 0.060 0.500 0.780 [4 per cell]



[10]
A plane-wave DFT calculation with GGA-PBE was carried out for an optimized crystal structure of CsNd2HgS4.

Output
Formation energy (no corrections): -1386 meV per atom
Raw total energy: -153.151 eV for the cell shown

Cell lengths 4.280, 14.424, 14.829 Å; angles 90.00, 90.00, 90.00 degrees
Space group Cmcm (No. 63)
Inequivalent atoms, fractional coordinates:
Cs1 0.000 0.117 0.250 [4 per cell]
Nd1 0.000 0.374 0.055 [8 per cell]
Hg1 0.000 0.164 0.750 [4 per cell]
S1 0.000 0.000 0.000 [4 per cell]
S2 0.000 0.258 0.599 [8 per cell]
S3 0.000 0.435 0.250 [4 per cell]



[11]
A plane-wave DFT calculation with GGA-PBE was carried out for an optimized crystal structure of KBiO2.

Output
Formation energy (no corrections): -1368 meV per atom
Raw total energy: -40.733 eV for the cell shown

Cell lengths 5.803, 3.520, 7.427 Å; angles 90.00, 91.18, 90.00 degrees
Space group P2_1/m (No. 11)
Inequivalent atoms, fractional coordinates:
K1 0.246 0.250 0.117 [2 per cell]
Bi1 0.229 0.250 0.619 [2 per cell]
O1 0.138 0.750 0.383 [2 per cell]
O2 0.241 0.750 0.818 [2 per cell]



[12]
A plane-wave DFT calculation with GGA-PBE was carried out for an optimized crystal structure of Cs4K3As2.

Output
Raw total energy: -36.000 eV for the cell shown
Formation enthalpy at 0 K: -0.22 eV per atom

Cell lengths 20.824, 5.446, 9.857 Å; angles 90.00, 108.98, 90.00 degrees
Space group C2/m (No. 12)
Inequivalent atoms, fractional coordinates:
Cs1 0.073 0.000 0.288 [4 per cell]
Cs2 0.223 0.500 0.146 [4 per cell]
K1 0.000 0.500 0.000 [2 per cell]
K2 0.104 0.500 0.737 [4 per cell]
As1 0.107 0.000 0.936 [4 per cell]